Below is crystalline Er3GaP2Rh9 at its relaxed geometry, with properties calculated at the PBE level.

Cell and atoms, written as POSCAR:
```
Er3GaP2Rh9
1.0
6.035 0.000 0.000
-3.018 5.227 0.000
0.000 0.000 8.885
Er Ga P Rh
3 1 2 9
direct
0.333 0.667 0.709
0.000 0.000 0.000
0.667 0.333 0.291
0.000 0.000 0.500
0.333 0.667 0.166
0.667 0.333 0.834
0.851 0.149 0.723
0.851 0.702 0.723
0.298 0.149 0.723
0.702 0.851 0.277
0.149 0.298 0.277
0.149 0.851 0.277
0.500 0.000 0.000
0.000 0.500 0.000
0.500 0.500 0.000
```

## Properties
total magnetization = 0.000 μB/cell
DFT formation energy = -0.65 eV/atom
raw total energy = -103.52 eV per formula unit
crystal system = trigonal
space group = P-3m1 (164)